Entry from the Alexandria database: Y4Mg8Cu after structural relaxation (PBE).

**Formation energy**: 299 meV per atom
**SG**: No. 139
**DFT total energy**: -38.82 eV for the cell shown

```
data_Y4Mg8Cu
_chemical_formula_sum 'Y4 Mg8 Cu1'
_symmetry_space_group_name_H-M 'P 1'
_symmetry_Int_Tables_number 1
_symmetry_space_group_name_Hall 'P 1'
_cell_length_a 8.1701
_cell_length_b 8.1701
_cell_length_c 8.1701
_cell_angle_alpha 99.66
_cell_angle_beta 99.66
_cell_angle_gamma 131.63
loop_
_atom_site_label
_atom_site_type_symbol
_atom_site_fract_x
_atom_site_fract_y
_atom_site_fract_z
Y1 Y 0.5000 0.0000 0.0000
Y2 Y 0.0000 0.5000 0.0000
Y3 Y 0.0000 0.0000 0.5000
Y4 Y 0.5000 0.5000 0.5000
Mg1 Mg 0.3521 0.0000 0.3521
Mg2 Mg 0.6479 0.0000 0.6479
Mg3 Mg 0.0000 0.6479 0.6479
Mg4 Mg 0.0000 0.3521 0.3521
Mg5 Mg 0.2898 0.5000 0.7898
Mg6 Mg 0.7102 0.5000 0.2102
Mg7 Mg 0.5000 0.7102 0.2102
Mg8 Mg 0.5000 0.2898 0.7898
Cu1 Cu 0.0000 0.0000 0.0000
```